# 1
A geometry-optimized Pr3NiSeCl structure. Source: Alexandria via LeMat-Bulk, functional GGA-PBE.

As for the crystal system: monoclinic. Its total magnetization is 0.0 Bohr magnetons per cell. The total energy is -5.350 eV/atom.

It has space group P2_1/m (No. 11), with a = 7.937 Å, b = 3.877 Å, c = 10.879 Å, α = 90.00°, β = 109.43° and γ = 90.00°. The asymmetric unit holds Pr at (0.032, 0.250, 0.280), Pr at (0.244, 0.250, 0.045), Pr at (0.347, 0.750, 0.581), Ni at (0.064, 0.250, 0.556), Se at (0.341, 0.750, 0.283) and Cl at (0.351, 0.750, 0.875).

# 2
A geometry-optimized Pr4NiSeCl2 structure. Source: Alexandria via LeMat-Bulk, functional GGA-PBE.

As for the crystal system: monoclinic. Its total magnetization is 0.0 Bohr magnetons per cell. The total energy is -5.280 eV/atom.

It has space group P2/m (No. 10), with a = 7.337 Å, b = 4.058 Å, c = 7.531 Å, α = 90.00°, β = 108.39° and γ = 90.00°. The asymmetric unit holds Pr at (0.217, 0.000, 0.218), Pr at (0.235, 0.500, 0.758), Ni at (0.000, 0.500, 0.000), Se at (0.000, 0.000, 0.500), Cl at (0.500, 0.000, 0.000) and Cl at (0.500, 0.500, 0.500).

# 3
A geometry-optimized Pr8Si3NiCl4 structure. Source: Alexandria via LeMat-Bulk, functional GGA-PBE.

As for the crystal system: trigonal. Its total magnetization is 0.0 Bohr magnetons per cell. The total energy is -5.319 eV/atom.

It has space group R-3m (No. 166, hexagonal axes), with a = 8.4909 Å, b = 8.4909 Å, c = 21.0249 Å, α = 90.00°, β = 90.00° and γ = 120.00°. The asymmetric unit holds Pr at (0.0000, 0.0000, 0.2433), Pr at (0.0077, 0.5038, 0.2410), Si at (0.0000, 0.5000, 0.5000), Ni at (0.0000, 0.0000, 0.5000), Cl at (0.0000, 0.0000, 0.0000) and Cl at (0.0000, 0.5000, 0.0000).

# 4
A geometry-optimized Pr4SiNiCl2 structure. Source: Alexandria via LeMat-Bulk, functional GGA-PBE.

As for the crystal system: monoclinic. Its total magnetization is 0.0 Bohr magnetons per cell. The total energy is -5.252 eV/atom.

It has space group P2/m (No. 10), with a = 7.455 Å, b = 4.095 Å, c = 7.455 Å, α = 90.00°, β = 107.96° and γ = 90.00°. The asymmetric unit holds Pr at (0.212, 0.000, 0.223), Pr at (0.230, 0.500, 0.744), Si at (0.000, 0.000, 0.500), Ni at (0.000, 0.500, 0.000), Cl at (0.500, 0.000, 0.000) and Cl at (0.500, 0.500, 0.500).

Number 1: formation energy from raw total energies -1108 meV per atom. Number 2: formation energy from raw total energies -1271 meV per atom. Number 3: formation energy from raw total energies -1090 meV per atom. Number 4: formation energy from raw total energies -1000 meV per atom.